[1]
Computed, not measured: a relaxed CrTcN2F crystal at the GGA-PBEsol level of DFT.

Properties
Total DFT energy (no corrections), eV/atom: -8.014
Size of the total moment, μB/atom: 0.839
N(E_F), states/eV/f.u.: 2.4

a = 3.829 Å, b = 3.829 Å, c = 3.981 Å
α = 90.00°, β = 90.00°, γ = 90.00°
Atoms (fractional coordinates):
N  0.000  0.500  0.000
N  0.500  0.000  0.000
Cr  0.500  0.500  0.500
Tc  0.000  0.000  0.000
F  0.000  0.000  0.500

***

[2]
Computed, not measured: a relaxed CrWN2F crystal at the GGA-PBEsol level of DFT.

Properties
Total DFT energy (no corrections), eV/atom: -8.740
Size of the total moment, μB/atom: 0.857
N(E_F), states/eV/f.u.: 2.1

a = 3.941 Å, b = 3.941 Å, c = 3.937 Å
α = 90.00°, β = 90.00°, γ = 90.00°
Atoms (fractional coordinates):
N  0.000  0.500  0.000
N  0.500  0.000  0.000
Cr  0.500  0.500  0.500
F  0.000  0.000  0.500
W  0.000  0.000  0.000

***

[3]
Computed, not measured: a relaxed YCrNF2 crystal at the GGA-PBEsol level of DFT.

Properties
Total DFT energy (no corrections), eV/atom: -7.285
Size of the total moment, μB/atom: 0.800
N(E_F), states/eV/f.u.: 1.5

a = 4.194 Å, b = 4.194 Å, c = 4.601 Å
α = 90.00°, β = 90.00°, γ = 90.00°
Atoms (fractional coordinates):
F  0.500  0.000  0.000
F  0.000  0.500  0.000
N  0.000  0.000  0.500
Cr  0.500  0.500  0.500
Y  0.000  0.000  0.000

***

[4]
Computed, not measured: a relaxed NaCrF6 crystal at the GGA-PBEsol level of DFT.

Properties
Total DFT energy (no corrections), eV/atom: -5.335
Size of the total moment, μB/atom: 0.125
N(E_F), states/eV/f.u.: 7.6

a = 5.231 Å, b = 5.231 Å, c = 5.627 Å
α = 62.30°, β = 62.30°, γ = 60.00°
Atoms (fractional coordinates):
F  0.212  0.912  0.216
F  0.340  0.788  0.784
F  0.088  0.340  0.784
F  0.788  0.088  0.784
F  0.912  0.660  0.216
F  0.660  0.212  0.216
Cr  0.000  0.000  0.000
Na  0.500  0.500  0.500

***

[5]
Computed, not measured: a relaxed Na3CrF6 crystal at the GGA-PBEsol level of DFT.

Properties
Total DFT energy (no corrections), eV/atom: -5.365
Size of the total moment, μB/atom: 0.300
N(E_F), states/eV/f.u.: 0.0

a = 5.454 Å, b = 5.706 Å, c = 7.874 Å
α = 90.00°, β = 89.58°, γ = 90.00°
Atoms (fractional coordinates):
Cr  0.000  0.000  0.000
Cr  0.500  0.500  0.500
F  0.285  0.179  0.052
F  0.785  0.321  0.552
F  0.168  0.723  0.073
F  0.382  0.444  0.726
F  0.715  0.821  0.948
F  0.118  0.944  0.774
F  0.332  0.223  0.427
F  0.668  0.777  0.573
F  0.618  0.556  0.274
F  0.882  0.056  0.226
F  0.215  0.679  0.448
F  0.832  0.277  0.927
Na  0.018  0.441  0.256
Na  0.000  0.000  0.500
Na  0.518  0.059  0.756
Na  0.482  0.941  0.244
Na  0.982  0.559  0.744
Na  0.500  0.500  0.000

***

[6]
Computed, not measured: a relaxed Na5CrP2O8F2 crystal at the GGA-PBEsol level of DFT.

Properties
Total DFT energy (no corrections), eV/atom: -6.476
Size of the total moment, μB/atom: 0.167
N(E_F), states/eV/f.u.: 0.0

a = 6.662 Å, b = 10.557 Å, c = 10.557 Å
α = 120.00°, β = 90.00°, γ = 90.00°
Atoms (fractional coordinates):
P  0.250  0.817  0.186
P  0.250  0.814  0.631
P  0.750  0.183  0.814
P  0.750  0.186  0.369
P  0.750  0.631  0.817
P  0.250  0.369  0.183
Cr  0.000  0.500  0.000
Cr  0.000  0.000  0.500
Cr  0.000  0.500  0.500
O  0.547  0.260  0.431
O  0.927  0.567  0.864
O  0.547  0.171  0.740
O  0.756  0.107  0.201
O  0.211  0.423  0.349
O  0.073  0.433  0.136
O  0.756  0.799  0.906
O  0.073  0.864  0.298
O  0.547  0.569  0.829
O  0.073  0.702  0.567
O  0.453  0.829  0.260
O  0.789  0.577  0.651
O  0.244  0.906  0.107
O  0.211  0.651  0.074
O  0.244  0.201  0.094
O  0.927  0.298  0.433
O  0.789  0.349  0.926
O  0.244  0.893  0.799
O  0.756  0.094  0.893
O  0.453  0.431  0.171
O  0.211  0.926  0.577
O  0.453  0.740  0.569
O  0.789  0.074  0.423
O  0.927  0.136  0.702
Na  0.239  0.685  0.857
Na  0.761  0.315  0.143
Na  0.988  0.333  0.667
Na  0.500  0.500  0.500
Na  0.500  0.000  0.000
Na  0.761  0.857  0.172
Na  0.572  0.667  0.333
Na  0.000  0.000  0.000
Na  0.428  0.333  0.667
Na  0.239  0.172  0.315
Na  0.500  0.500  0.000
Na  0.761  0.828  0.685
Na  0.500  0.000  0.500
Na  0.012  0.667  0.333
Na  0.239  0.143  0.828
F  0.799  0.860  0.483
F  0.799  0.623  0.140
F  0.201  0.483  0.623
F  0.201  0.377  0.860
F  0.799  0.517  0.377
F  0.201  0.140  0.517

***

Q: size of the total moment of number 5 (Na3CrF6)?
A: 0.300 μB/atom

***

Please write out number 1 again, unchanged.
Computed, not measured: a relaxed CrTcN2F crystal at the GGA-PBEsol level of DFT.

Properties
Total DFT energy (no corrections), eV/atom: -8.014
Size of the total moment, μB/atom: 0.839
N(E_F), states/eV/f.u.: 2.4

a = 3.829 Å, b = 3.829 Å, c = 3.981 Å
α = 90.00°, β = 90.00°, γ = 90.00°
Atoms (fractional coordinates):
N  0.000  0.500  0.000
N  0.500  0.000  0.000
Cr  0.500  0.500  0.500
Tc  0.000  0.000  0.000
F  0.000  0.000  0.500

***

Q: Which formula does entry 5 have?
A: Na3CrF6

***

Q: Which of these has the highest N(E_F)?
A: NaCrF6